No. 1
This record from the Alexandria database describes an optimized crystal structure of Be2Ag2Bi. The functional is PBE.

a = 3.2921 Å, b = 3.2921 Å, c = 8.4001 Å
α = 78.70°, β = 78.70°, γ = 90.00°
With the nearest neighbours (Å) after each atom.
Sites, in units of the cell vectors:
Be: 0.7500 0.2500 0.5000  4 Be 2.33, 4 Ag 2.43
Be: 0.2500 0.7500 0.5000  4 Be 2.33, 4 Ag 2.43
Ag: 0.6389 0.6389 0.7222  4 Be 2.43
Ag: 0.3611 0.3611 0.2778  4 Be 2.43
Bi: 0.0000 0.0000 0.0000  8 Ag 3.23, 4 Bi 3.29

Formation enthalpy at 0 K (eV per formula unit): 1.260
DOS(E_F) (states/eV per cell): 1.255



No. 2
This record from the Alexandria database describes an optimized crystal structure of BeAgBi. The functional is PBE.

a = 3.9239 Å, b = 6.8138 Å, c = 4.7091 Å
α = 82.53°, β = 89.98°, γ = 90.06°
With the nearest neighbours (Å) after each atom.
Sites, in units of the cell vectors:
Bi: 0.9193 0.8611 0.3605  3 Be 2.64-2.70
Bi: 0.4179 0.2467 0.7865  3 Be 2.64-2.70
Be: 0.9181 0.5208 0.6999  2 Be 2.31, 2 Ag 2.48-2.49
Be: 0.4180 0.5872 0.4470  2 Be 2.31, 2 Ag 2.48-2.49
Ag: 0.9191 0.4028 0.2238  4 Be 2.48-2.63
Ag: 0.4200 0.7048 0.9234  4 Be 2.48-2.63

Formation enthalpy at 0 K (eV per formula unit): 0.593
DOS(E_F) (states/eV per cell): 1.100